No. 1
DFT (PBEsol) results for a relaxed structure of Sc2TaNi.

```
Sc2TaNi
1.0
5.3229 -1.4994 0.0000
5.3229 1.4994 0.0000
-2.1438 0.0000 4.4524
Sc Ta Ni
2 1 1
direct
0.0000 0.0000 0.0000 Sc
0.2004 0.2004 0.6456 Sc
0.4180 0.4180 0.4257 Ta
0.7181 0.7181 0.0861 Ni
```

## Properties
Density of states at the Fermi level ... 4.9 states/eV/cell
Uncorrected energy ... -8.0547 eV per atom
Distance to the lowest polymorph of the same formula ... 0 meV per atom

***

No. 2
DFT (PBEsol) results for a relaxed structure of ScTa2Ni.

```
ScTa2Ni
1.0
2.9389 0.0000 0.0000
0.0000 2.9389 0.0000
0.0000 0.0000 7.7415
Sc Ta Ni
1 2 1
direct
0.0000 0.0000 0.0000 Sc
0.0000 0.0000 0.5651 Ta
0.5000 0.5000 0.2909 Ta
0.5000 0.5000 0.7648 Ni
```

## Properties
Density of states at the Fermi level ... 3.7 states/eV/cell
Uncorrected energy ... -9.5208 eV per atom
Distance to the lowest polymorph of the same formula ... 0 meV per atom

***

No. 3
DFT (PBEsol) results for a relaxed structure of ScTa2Ni.

```
ScTa2Ni
1.0
2.6656 -4.6722 0.0000
2.6656 4.6722 0.0000
-0.9305 0.0000 2.6509
Sc Ta Ni
1 2 1
direct
0.0000 0.0000 0.0000 Sc
0.0000 0.5000 0.5000 Ta
0.5000 0.0000 0.5000 Ta
0.5000 0.5000 0.0000 Ni
```

## Properties
Density of states at the Fermi level ... 4.2 states/eV/cell
Uncorrected energy ... -9.3291 eV per atom
Distance to the lowest polymorph of the same formula ... 192 meV per atom

***

No. 4
DFT (PBEsol) results for a relaxed structure of Sc2TaNi.

```
Sc2TaNi
1.0
1.4804 0.8547 9.5639
-1.4804 0.8547 9.5639
0.0000 -1.7094 9.5639
Sc Ta Ni
2 1 1
direct
0.0983 0.0983 0.0983 Sc
0.9017 0.9017 0.9017 Sc
0.0000 0.0000 0.0000 Ta
0.5000 0.5000 0.5000 Ni
```

## Properties
Density of states at the Fermi level ... 4.6 states/eV/cell
Uncorrected energy ... -7.6489 eV per atom
Distance to the lowest polymorph of the same formula ... 406 meV per atom